[1]
A relaxed structure of MgCoTe2I. Source: the Alexandria database, functional PBE-GGA.

Geometry as CIF:
```
data_MgCoTe2I
_chemical_formula_sum 'Mg1 Co1 Te2 I1'
_cell_length_a 5.4949
_cell_length_b 5.4949
_cell_length_c 5.5778
_cell_angle_alpha 90.00
_cell_angle_beta 90.00
_cell_angle_gamma 90.00
_space_group_name_H-M_alt 'P 4/m m m'
_space_group_IT_number 123
_space_group_name_Hall '-P 4 2'
loop_
_atom_site_label
_atom_site_type_symbol
_atom_site_fract_x
_atom_site_fract_y
_atom_site_fract_z
_atom_site_occupancy
Mg1 Mg 0.0000 0.0000 0.0000 1
Co1 Co 0.5000 0.5000 0.5000 1
Te1 Te 0.0000 0.5000 0.0000 1
I1 I 0.0000 0.0000 0.5000 1
```

Properties
As for the formation energy (no corrections): 730.3 meV per atom. For the total energy, the calculation gives -2.58 eV per atom. The calculation puts the total magnetic moment at 2.86 μB/cell.

[2]
A relaxed structure of CsCePdCl6. Source: the Alexandria database, functional PBE-GGA.

Geometry as CIF:
```
data_CsCePdCl6
_chemical_formula_sum 'Cs2 Ce2 Pd2 Cl12'
_cell_length_a 7.3369
_cell_length_b 10.8998
_cell_length_c 8.1283
_cell_angle_alpha 90.00
_cell_angle_beta 98.70
_cell_angle_gamma 90.00
_space_group_name_H-M_alt 'C 1 2 1'
_space_group_IT_number 5
loop_
_space_group_symop_operation_xyz
'x,y,z'
'-x,y,-z'
'x+1/2,y+1/2,z'
'-x+1/2,y+1/2,-z'
loop_
_atom_site_label
_atom_site_type_symbol
_atom_site_fract_x
_atom_site_fract_y
_atom_site_fract_z
_atom_site_occupancy
Cs1 Cs 0.0000 0.0000 0.0000 1
Ce1 Ce 0.0000 0.6206 0.5000 1
Pd1 Pd 0.0000 0.2628 0.5000 1
Cl1 Cl 0.1485 0.4178 0.6793 1
Cl2 Cl 0.1594 0.7462 0.7595 1
Cl3 Cl 0.1853 0.1099 0.6528 1
```

Properties
As for the formation energy (no corrections): -1595.3 meV per atom. For the total energy, the calculation gives -4.16 eV per atom. The calculation puts the total magnetic moment at 2.09 μB/cell.

[3]
A relaxed structure of ScMo2Pt. Source: the Alexandria database, functional PBE-GGA.

Geometry as CIF:
```
data_ScMo2Pt
_chemical_formula_sum 'Sc2 Mo4 Pt2'
_cell_length_a 3.3780
_cell_length_b 4.6272
_cell_length_c 8.6372
_cell_angle_alpha 90.00
_cell_angle_beta 90.00
_cell_angle_gamma 90.00
_space_group_name_H-M_alt 'I m m 2'
_space_group_IT_number 44
loop_
_space_group_symop_operation_xyz
'x,y,z'
'-x,-y,z'
'-x,y,z'
'x,-y,z'
'x+1/2,y+1/2,z+1/2'
'-x+1/2,-y+1/2,z+1/2'
'-x+1/2,y+1/2,z+1/2'
'x+1/2,-y+1/2,z+1/2'
loop_
_atom_site_label
_atom_site_type_symbol
_atom_site_fract_x
_atom_site_fract_y
_atom_site_fract_z
_atom_site_occupancy
Sc1 Sc 0.0000 0.0000 0.0000 1
Mo1 Mo 0.0000 0.0000 0.4802 1
Mo2 Mo 0.0000 0.5000 0.7629 1
Pt1 Pt 0.0000 0.5000 0.2379 1
```

Properties
For the total energy, the calculation gives -8.70 eV per atom. The calculation puts the total magnetic moment at 0.00 μB/cell.

[4]
A relaxed structure of ScInCl2. Source: the Alexandria database, functional PBE-GGA.

Geometry as CIF:
```
data_ScInCl2
_chemical_formula_sum 'Sc2 In2 Cl4'
_cell_length_a 3.3446
_cell_length_b 6.0502
_cell_length_c 10.4323
_cell_angle_alpha 90.00
_cell_angle_beta 90.00
_cell_angle_gamma 90.00
_space_group_name_H-M_alt 'I m m m'
_space_group_IT_number 71
_space_group_name_Hall '-I 2 2'
loop_
_atom_site_label
_atom_site_type_symbol
_atom_site_fract_x
_atom_site_fract_y
_atom_site_fract_z
_atom_site_occupancy
Sc1 Sc 0.0000 0.0000 0.0000 1
In1 In 0.0000 0.0000 0.5000 1
Cl1 Cl 0.0000 0.5000 0.3185 1
```

Properties
As for the formation energy (no corrections): -1158.0 meV per atom. For the total energy, the calculation gives -4.35 eV per atom. The calculation puts the total magnetic moment at 0.08 μB/cell.

[5]
A relaxed structure of La2Pm12Tm. Source: the Alexandria database, functional PBE-GGA.

Geometry as CIF:
```
data_La2Pm12Tm
_chemical_formula_sum 'La4 Pm24 Tm2'
_cell_length_a 6.5957
_cell_length_b 6.5957
_cell_length_c 25.3935
_cell_angle_alpha 90.00
_cell_angle_beta 90.00
_cell_angle_gamma 90.00
_space_group_name_H-M_alt 'P 4/n b m'
_space_group_IT_number 125
loop_
_space_group_symop_operation_xyz
'x,y,z'
'-x,-y,-z'
'-y+1/2,x,z'
'y+1/2,-x,-z'
'-x+1/2,-y+1/2,z'
'x+1/2,y+1/2,-z'
'y,-x+1/2,z'
'-y,x+1/2,-z'
'x,-y+1/2,-z'
'-x,y+1/2,z'
'-y+1/2,-x+1/2,-z'
'y+1/2,x+1/2,z'
'-x+1/2,y,-z'
'x+1/2,-y,z'
'y,x,-z'
'-y,-x,z'
loop_
_atom_site_label
_atom_site_type_symbol
_atom_site_fract_x
_atom_site_fract_y
_atom_site_fract_z
_atom_site_occupancy
La1 La 0.2500 0.7500 0.2350 1
Pm1 Pm 0.0617 0.5617 0.3880 1
Pm2 Pm 0.0823 0.5823 0.9382 1
Pm3 Pm 0.2500 0.2500 0.1622 1
Pm4 Pm 0.2500 0.2500 0.2864 1
Tm1 Tm 0.2500 0.7500 0.5000 1
```

Properties
For the total energy, the calculation gives -4.45 eV per atom. The calculation puts the total magnetic moment at 0.00 μB/cell.

[6]
A relaxed structure of Re2HgTe. Source: the Alexandria database, functional PBE-GGA.

Geometry as CIF:
```
data_Re2HgTe
_chemical_formula_sum 'Re4 Hg2 Te2'
_cell_length_a 8.6251
_cell_length_b 3.0681
_cell_length_c 5.6689
_cell_angle_alpha 90.00
_cell_angle_beta 100.43
_cell_angle_gamma 90.00
_space_group_name_H-M_alt 'C 1 2/m 1'
_space_group_IT_number 12
loop_
_space_group_symop_operation_xyz
'x,y,z'
'-x,-y,-z'
'-x,y,-z'
'x,-y,z'
'x+1/2,y+1/2,z'
'-x+1/2,-y+1/2,-z'
'-x+1/2,y+1/2,-z'
'x+1/2,-y+1/2,z'
loop_
_atom_site_label
_atom_site_type_symbol
_atom_site_fract_x
_atom_site_fract_y
_atom_site_fract_z
_atom_site_occupancy
Re1 Re 0.2494 0.0000 0.2834 1
Hg1 Hg 0.0000 0.5000 0.0000 1
Te1 Te 0.0000 0.0000 0.5000 1
```

Properties
As for the formation energy (no corrections): 974.6 meV per atom. For the total energy, the calculation gives -6.11 eV per atom. The calculation puts the total magnetic moment at 0.00 μB/cell.

[7]
A relaxed structure of Na2CaPbCl8. Source: the Alexandria database, functional PBE-GGA.

Geometry as CIF:
```
data_Na2CaPbCl8
_chemical_formula_sum 'Na2 Ca1 Pb1 Cl8'
_cell_length_a 6.3778
_cell_length_b 8.3108
_cell_length_c 6.6023
_cell_angle_alpha 90.00
_cell_angle_beta 94.07
_cell_angle_gamma 90.00
_space_group_name_H-M_alt 'P 1 2/m 1'
_space_group_IT_number 10
loop_
_space_group_symop_operation_xyz
'x,y,z'
'-x,-y,-z'
'-x,y,-z'
'x,-y,z'
loop_
_atom_site_label
_atom_site_type_symbol
_atom_site_fract_x
_atom_site_fract_y
_atom_site_fract_z
_atom_site_occupancy
Na1 Na 0.0000 0.2389 0.0000 1
Ca1 Ca 0.5000 0.0000 0.5000 1
Pb1 Pb 0.5000 0.5000 0.5000 1
Cl1 Cl 0.2321 0.0000 0.1769 1
Cl2 Cl 0.2500 0.5000 0.1774 1
Cl3 Cl 0.2809 0.2716 0.6518 1
```

Properties
As for the formation energy (no corrections): -1430.1 meV per atom. For the total energy, the calculation gives -3.36 eV per atom. The calculation puts the total magnetic moment at 0.05 μB/cell.

[8]
A relaxed structure of TbFeNi4. Source: the Alexandria database, functional PBE-GGA.

Geometry as CIF:
```
data_TbFeNi4
_chemical_formula_sum 'Tb2 Fe2 Ni8'
_cell_length_a 7.0446
_cell_length_b 3.7280
_cell_length_c 6.4672
_cell_angle_alpha 90.00
_cell_angle_beta 90.00
_cell_angle_gamma 90.00
_space_group_name_H-M_alt 'P m m a'
_space_group_IT_number 51
loop_
_space_group_symop_operation_xyz
'x,y,z'
'-x,-y,-z'
'-x+1/2,-y,z'
'x+1/2,y,-z'
'x+1/2,-y,-z'
'-x+1/2,y,z'
'-x,y,-z'
'x,-y,z'
loop_
_atom_site_label
_atom_site_type_symbol
_atom_site_fract_x
_atom_site_fract_y
_atom_site_fract_z
_atom_site_occupancy
Tb1 Tb 0.2500 0.0000 0.1417 1
Fe1 Fe 0.2500 0.0000 0.7195 1
Ni1 Ni 0.0000 0.0000 0.5000 1
Ni2 Ni 0.0541 0.5000 0.7967 1
Ni3 Ni 0.2500 0.5000 0.4711 1
```

Properties
For the total energy, the calculation gives -6.14 eV per atom. The calculation puts the total magnetic moment at 8.40 μB/cell.

[9]
A relaxed structure of B2C3. Source: the Alexandria database, functional PBE-GGA.

Geometry as CIF:
```
data_B2C3
_chemical_formula_sum 'B8 C12'
_cell_length_a 8.4576
_cell_length_b 2.4920
_cell_length_c 6.2594
_cell_angle_alpha 90.00
_cell_angle_beta 108.20
_cell_angle_gamma 90.00
_space_group_name_H-M_alt 'C 1 2/m 1'
_space_group_IT_number 12
loop_
_space_group_symop_operation_xyz
'x,y,z'
'-x,-y,-z'
'-x,y,-z'
'x,-y,z'
'x+1/2,y+1/2,z'
'-x+1/2,-y+1/2,-z'
'-x+1/2,y+1/2,-z'
'x+1/2,-y+1/2,z'
loop_
_atom_site_label
_atom_site_type_symbol
_atom_site_fract_x
_atom_site_fract_y
_atom_site_fract_z
_atom_site_occupancy
B1 B 0.0549 0.0000 0.1352 1
B2 B 0.1739 0.0000 0.9230 1
C1 C 0.0950 0.5000 0.5232 1
C2 C 0.1376 0.5000 0.3036 1
C3 C 0.1751 0.0000 0.6626 1
```

Properties
For the total energy, the calculation gives -7.93 eV per atom. The calculation puts the total magnetic moment at 0.00 μB/cell.

[10]
A relaxed structure of CaTaAg. Source: the Alexandria database, functional PBE-GGA.

Geometry as CIF:
```
data_CaTaAg
_chemical_formula_sum 'Ca4 Ta4 Ag4'
_cell_length_a 5.2239
_cell_length_b 4.7871
_cell_length_c 11.4679
_cell_angle_alpha 90.00
_cell_angle_beta 90.00
_cell_angle_gamma 90.00
_space_group_name_H-M_alt 'P n m a'
_space_group_IT_number 62
loop_
_space_group_symop_operation_xyz
'x,y,z'
'-x,-y,-z'
'-x+1/2,-y,z+1/2'
'x+1/2,y,-z+1/2'
'x+1/2,-y+1/2,-z+1/2'
'-x+1/2,y+1/2,z+1/2'
'-x,y+1/2,-z'
'x,-y+1/2,z'
loop_
_atom_site_label
_atom_site_type_symbol
_atom_site_fract_x
_atom_site_fract_y
_atom_site_fract_z
_atom_site_occupancy
Ca1 Ca 0.2497 0.2500 0.0375 1
Ta1 Ta 0.0008 0.2500 0.7499 1
Ag1 Ag 0.2494 0.2500 0.3240 1
```

Properties
For the total energy, the calculation gives -5.28 eV per atom. The calculation puts the total magnetic moment at 0.00 μB/cell.

[11]
A relaxed structure of Tb6TeAs3S2. Source: the Alexandria database, functional PBE-GGA.

Geometry as CIF:
```
data_Tb6TeAs3S2
_chemical_formula_sum 'Tb12 Te2 As6 S4'
_cell_length_a 17.9311
_cell_length_b 4.1124
_cell_length_c 8.2540
_cell_angle_alpha 90.00
_cell_angle_beta 103.24
_cell_angle_gamma 90.00
_space_group_name_H-M_alt 'C 1 2/m 1'
_space_group_IT_number 12
loop_
_space_group_symop_operation_xyz
'x,y,z'
'-x,-y,-z'
'-x,y,-z'
'x,-y,z'
'x+1/2,y+1/2,z'
'-x+1/2,-y+1/2,-z'
'-x+1/2,y+1/2,-z'
'x+1/2,-y+1/2,z'
loop_
_atom_site_label
_atom_site_type_symbol
_atom_site_fract_x
_atom_site_fract_y
_atom_site_fract_z
_atom_site_occupancy
Tb1 Tb 0.0027 0.0000 0.2713 1
Tb2 Tb 0.1677 0.5000 0.5836 1
Tb3 Tb 0.1753 0.5000 0.0884 1
Te1 Te 0.0000 0.5000 0.0000 1
As1 As 0.0000 0.5000 0.5000 1
As2 As 0.1632 0.0000 0.8315 1
S1 S 0.1686 0.0000 0.3351 1
```

Properties
As for the formation energy (no corrections): -1674.7 meV per atom. For the total energy, the calculation gives -6.10 eV per atom. The calculation puts the total magnetic moment at 0.00 μB/cell.

[12]
A relaxed structure of Na2FeAgCl. Source: the Alexandria database, functional PBE-GGA.

Geometry as CIF:
```
data_Na2FeAgCl
_chemical_formula_sum 'Na2 Fe1 Ag1 Cl1'
_cell_length_a 5.7081
_cell_length_b 5.7081
_cell_length_c 4.0325
_cell_angle_alpha 90.00
_cell_angle_beta 90.00
_cell_angle_gamma 90.00
_space_group_name_H-M_alt 'P 4/m m m'
_space_group_IT_number 123
_space_group_name_Hall '-P 4 2'
loop_
_atom_site_label
_atom_site_type_symbol
_atom_site_fract_x
_atom_site_fract_y
_atom_site_fract_z
_atom_site_occupancy
Na1 Na 0.0000 0.5000 0.0000 1
Fe1 Fe 0.0000 0.0000 0.0000 1
Ag1 Ag 0.5000 0.5000 0.5000 1
Cl1 Cl 0.0000 0.0000 0.5000 1
```

Properties
As for the formation energy (no corrections): 357.3 meV per atom. For the total energy, the calculation gives -2.80 eV per atom. The calculation puts the total magnetic moment at 0.06 μB/cell.

[13]
A relaxed structure of CsAsWSe2. Source: the Alexandria database, functional PBE-GGA.

Geometry as CIF:
```
data_CsAsWSe2
_chemical_formula_sum 'Cs1 As1 W1 Se2'
_cell_length_a 5.8484
_cell_length_b 5.8484
_cell_length_c 5.7673
_cell_angle_alpha 90.00
_cell_angle_beta 90.00
_cell_angle_gamma 90.00
_space_group_name_H-M_alt 'P 4/m m m'
_space_group_IT_number 123
_space_group_name_Hall '-P 4 2'
loop_
_atom_site_label
_atom_site_type_symbol
_atom_site_fract_x
_atom_site_fract_y
_atom_site_fract_z
_atom_site_occupancy
Cs1 Cs 0.0000 0.0000 0.0000 1
As1 As 0.0000 0.0000 0.5000 1
W1 W 0.5000 0.5000 0.5000 1
Se1 Se 0.0000 0.5000 0.0000 1
```

Properties
As for the formation energy (no corrections): 2374.8 meV per atom. For the total energy, the calculation gives -2.71 eV per atom. The calculation puts the total magnetic moment at 1.67 μB/cell.